VASP calculation (PBE) on a relaxed structure of SrCrCd2.

Output
energy of formation from the pure elements = 1.08 eV/f.u.
V = 106 Å³ per cell

Lattice parameters (Å, degrees): 4.814 4.814 4.570 90.04 90.04 90.06
Last column: magnetic moment on the atom in μB.
Element x y z (fractional)
Cr 0.500 0.000 0.500  3.92
Sr 0.000 0.500 0.500  -0.01
Cd 0.000 0.000 0.000  -0.02
Cd 0.500 0.500 0.000  -0.02



VASP calculation (PBE) on a relaxed structure of SrCrCd.

Output
energy of formation from the pure elements = 0.96 eV/f.u.
energy above the lowest structure with this stoichiometry = 0.00 eV per formula unit
V = 88 Å³ per cell

Lattice parameters (Å, degrees): 5.011 5.011 4.035 90.00 90.00 120.00
Last column: magnetic moment on the atom in μB.
Element x y z (fractional)
Cd 0.000 0.000 0.166  0.00
Sr 0.333 0.667 0.666  0.03
Cr 0.667 0.333 0.168  3.96



VASP calculation (PBE) on a relaxed structure of SrCrCd2.

Output
energy of formation from the pure elements = 0.87 eV/f.u.
V = 100 Å³ per cell

Lattice parameters (Å, degrees): 5.214 5.214 5.214 120.17 120.31 89.58
Last column: magnetic moment on the atom in μB.
Element x y z (fractional)
Cd 0.999 0.999 0.000  -0.04
Cd 0.250 0.750 0.500  -0.04
Sr 0.750 0.250 0.500  0.03
Cr 0.501 0.501 0.000  3.95



VASP calculation (PBE) on a relaxed structure of SrCr2Cd.

Output
energy of formation from the pure elements = 3.44 eV/f.u.
V = 97 Å³ per cell

Lattice parameters (Å, degrees): 5.852 6.059 3.258 76.91 84.96 117.34
Last column: magnetic moment on the atom in μB.
Element x y z (fractional)
Cd 0.500 0.500 0.000  -0.03
Sr 0.000 0.500 0.500  0.00
Cr 0.000 0.000 0.000  3.80
Cr 0.500 0.000 0.500  3.80



VASP calculation (PBE) on a relaxed structure of SrCrCd2.

Output
energy of formation from the pure elements = 0.59 eV/f.u.
V = 113 Å³ per cell

Lattice parameters (Å, degrees): 4.883 4.883 6.144 66.59 66.59 60.01
Last column: magnetic moment on the atom in μB.
Element x y z (fractional)
Cd 0.237 0.237 0.290  -0.01
Cd 0.954 0.954 0.136  -0.02
Sr 0.754 0.754 0.738  0.03
Cr 0.555 0.555 0.335  3.82



VASP calculation (PBE) on a relaxed structure of SrCr2Cd.

Output
energy of formation from the pure elements = 3.00 eV/f.u.
V = 97 Å³ per cell

Lattice parameters (Å, degrees): 4.709 4.709 4.381 90.00 90.00 90.00
Last column: magnetic moment on the atom in μB.
Element x y z (fractional)
Cr 0.000 0.000 0.000  3.79
Cr 0.500 0.500 0.000  3.79
Sr 0.500 0.000 0.500  0.02
Cd 0.000 0.500 0.500  -0.04



VASP calculation (PBE) on a relaxed structure of SrCrCd.

Output
energy of formation from the pure elements = 1.58 eV/f.u.
energy above the lowest structure with this stoichiometry = 0.62 eV per formula unit
V = 95 Å³ per cell

Lattice parameters (Å, degrees): 5.125 5.125 5.125 60.00 60.00 60.00
Last column: magnetic moment on the atom in μB.
Element x y z (fractional)
Sr 0.000 0.000 0.000  0.08
Cd 0.500 0.500 0.500  -0.01
Cr 0.750 0.750 0.750  4.01



VASP calculation (PBE) on a relaxed structure of SrCr4Cd.

Output
energy of formation from the pure elements = 5.03 eV/f.u.
V = 99 Å³ per cell

Lattice parameters (Å, degrees): 5.186 5.186 5.186 60.00 60.00 60.00
Element x y z (fractional)
Cr 0.377 0.377 0.868
Cr 0.868 0.377 0.377
Cr 0.377 0.377 0.377
Cr 0.377 0.868 0.377
Cd 0.000 0.000 0.000
Sr 0.750 0.750 0.750



VASP calculation (PBE) on a relaxed structure of SrCrCdTe2.

Output
formation energy from raw total energies = 0.52 eV/atom
V = 230 Å³ per cell

Lattice parameters (Å, degrees): 6.156 6.070 6.156 90.00 90.00 90.00
Last column: magnetic moment on the atom in μB.
Element x y z (fractional)
Cr 0.500 0.500 0.500  -4.37
Cd 0.000 0.500 0.000  -0.01
Te 0.000 0.000 0.500  0.23
Te 0.500 0.000 0.000  0.24
Sr 0.000 0.000 0.000  0.00



VASP calculation (PBE) on a relaxed structure of SrZrCr2Cd.

Output
energy of formation from the pure elements = 5.41 eV/f.u.
V = 149 Å³ per cell

Lattice parameters (Å, degrees): 5.230 5.441 5.230 90.00 90.00 90.00
Last column: magnetic moment on the atom in μB.
Element x y z (fractional)
Cr 0.000 0.000 0.500  3.92
Cr 0.500 0.000 0.000  3.81
Cd 0.000 0.000 0.000  -0.04
Sr 0.500 0.500 0.500  -0.05
Zr 0.000 0.500 0.000  -1.18



VASP calculation (PBE) on a relaxed structure of TaCrCd3.

Output
energy of formation from the pure elements = 8.37 eV/f.u.
energy above the lowest structure with this stoichiometry = 0.00 eV per formula unit
V = 115 Å³ per cell

Lattice parameters (Å, degrees): 4.858 4.858 4.858 90.00 90.00 90.00
Element x y z (fractional)
Cd 0.500 0.000 0.000
Cd 0.000 0.500 0.000
Cd 0.000 0.000 0.500
Cr 0.000 0.000 0.000
Ta 0.500 0.500 0.500



VASP calculation (PBE) on a relaxed structure of Ta2CrCd.

Output
energy of formation from the pure elements = 1.62 eV/f.u.
V = 73 Å³ per cell

Lattice parameters (Å, degrees): 9.595 9.595 9.595 17.90 17.90 17.90
Last column: magnetic moment on the atom in μB.
Element x y z (fractional)
Ta 0.006 0.006 0.006  -0.19
Ta 0.254 0.254 0.254  -0.02
Cr 0.745 0.745 0.745  2.45
Cd 0.496 0.496 0.496  -0.02